6
Lattice="-5.8679 1.7529 0.7042 -3.2035 2.0627 -4.8460 -4.5451 -3.4223 -2.3730" Properties=species:S:1:pos:R:3 comment="Sb4PtPb PBE relaxed" energy_ev_per_cell=-23.318 space_group=F-43m raw_formation_energy_ev_per_fu=2.92 pbc="T T T"
Sb -6.7068 1.1894 -4.8834
Sb -8.0534 1.0328 -2.0783
Sb -7.3849 -1.5826 -3.6335
Sb -5.0878 0.1470 -2.4342
Pt 0.0000 0.0000 0.0000
Pb -10.2124 0.2950 -4.8861